1.
A plane-wave DFT calculation with GGA-PBE was carried out for Mn2ZnTc after structural relaxation.

Results
**DFT formation energy**: 0.62 eV/atom
**E**: -6.875 eV/atom

Cell lengths 5.416, 5.416, 5.416 Å; angles 103.23, 103.23, 122.85 degrees
Fractional positions:
Mn 0.103 0.125 0.478
Mn 0.375 0.897 0.022
Mn 0.647 0.625 0.522
Mn 0.875 0.353 0.978
Zn 0.250 0.750 0.500
Zn 0.500 0.500 0.000
Tc 0.000 0.000 0.000
Tc 0.750 0.250 0.500

2.
A plane-wave DFT calculation with GGA-PBE was carried out for MnZnTc2 after structural relaxation.

Results
**DFT formation energy**: 0.16 eV/atom
**E**: -7.631 eV/atom

Cell lengths 2.648, 2.648, 8.517 Å; angles 90.00, 90.00, 108.84 degrees
Fractional positions:
Mn 0.000 0.000 0.000
Zn 0.500 0.500 0.753
Tc 0.000 0.000 0.492
Tc 0.500 0.500 0.234

3.
A plane-wave DFT calculation with GGA-PBE was carried out for MnZnTc2 after structural relaxation.

Results
**DFT formation energy**: 0.12 eV/atom
**E**: -7.674 eV/atom

Cell lengths 2.621, 2.621, 8.507 Å; angles 90.00, 90.00, 107.47 degrees
Fractional positions:
Mn 0.000 0.000 0.000
Zn 0.000 0.000 0.500
Tc 0.500 0.500 0.238
Tc 0.500 0.500 0.762

4.
A plane-wave DFT calculation with GGA-PBE was carried out for Mn2ZnTc after structural relaxation.

Results
**DFT formation energy**: 0.08 eV/atom
**E**: -7.411 eV/atom

Cell lengths 2.608, 3.783, 5.354 Å; angles 90.00, 90.00, 90.00 degrees
Fractional positions:
Mn 0.000 0.000 0.000
Mn 0.500 0.500 0.245
Zn 0.500 0.500 0.755
Tc 0.000 0.000 0.490